(1)
The following is a PBE calculation of a relaxed structure of NpInTe4, from Alexandria via LeMat-Bulk. Values from VASP.

Quantum ESPRESSO input file:
```
&SYSTEM
  ibrav = 0, nat = 12, ntyp = 3
/
ATOMIC_SPECIES
Np 237.00 Np.upf
In 114.82 In.upf
Te 127.60 Te.upf
CELL_PARAMETERS angstrom
5.166 -4.094 0.000
5.166 4.094 0.000
0.000 0.000 9.945
ATOMIC_POSITIONS crystal
Np 0.095 0.905 0.750
Np 0.905 0.095 0.250
In 0.459 0.541 0.250
In 0.541 0.459 0.750
Te 0.127 0.420 0.750
Te 0.206 0.794 0.050
Te 0.206 0.794 0.450
Te 0.420 0.127 0.250
Te 0.580 0.873 0.750
Te 0.794 0.206 0.550
Te 0.794 0.206 0.950
Te 0.873 0.580 0.250
```

SG: No. 63
Volume in Å³/cell: 420.66
Total moment in Bohr magnetons per cell: 6.424
Formation energy (no corrections) in eV per atom: -0.24
DOS at the Fermi energy in states/eV per atom: 2.181

***

(2)
The following is a PBE calculation of a relaxed structure of Np2InTe4, from Alexandria via LeMat-Bulk. Values from VASP.

Quantum ESPRESSO input file:
```
&SYSTEM
  ibrav = 0, nat = 14, ntyp = 3
/
ATOMIC_SPECIES
Np 237.00 Np.upf
In 114.82 In.upf
Te 127.60 Te.upf
CELL_PARAMETERS angstrom
7.811 0.000 0.000
0.000 12.520 0.000
0.000 0.000 4.603
ATOMIC_POSITIONS crystal
Np 0.091 0.186 0.000
Np 0.409 0.686 0.000
Np 0.591 0.314 0.000
Np 0.909 0.814 0.000
In 0.000 0.500 0.500
In 0.500 0.000 0.500
Te 0.136 0.720 0.500
Te 0.246 0.951 0.000
Te 0.254 0.451 0.000
Te 0.364 0.220 0.500
Te 0.636 0.780 0.500
Te 0.746 0.549 0.000
Te 0.754 0.049 0.000
Te 0.864 0.280 0.500
```

SG: No. 55
Volume in Å³/cell: 450.15
Total moment in Bohr magnetons per cell: 17.091
Formation energy (no corrections) in eV per atom: -0.46
Energy relative to the lowest polymorph listed for this composition in meV per atom: 22
DOS at the Fermi energy in states/eV per atom: 3.379

***

(3)
The following is a PBE calculation of a relaxed structure of NpInTe, from Alexandria via LeMat-Bulk. Values from VASP.

Quantum ESPRESSO input file:
```
&SYSTEM
  ibrav = 0, nat = 6, ntyp = 3
/
ATOMIC_SPECIES
Np 237.00 Np.upf
In 114.82 In.upf
Te 127.60 Te.upf
CELL_PARAMETERS angstrom
1.632 -8.166 0.000
1.632 8.166 0.000
0.000 0.000 6.611
ATOMIC_POSITIONS crystal
Np 0.110 0.890 0.500
Np 0.890 0.110 0.000
In 0.085 0.915 0.994
In 0.915 0.085 0.494
Te 0.264 0.736 0.762
Te 0.736 0.264 0.262
```

SG: No. 36
Volume in Å³/cell: 176.21
Total moment in Bohr magnetons per cell: 9.846
Formation energy (no corrections) in eV per atom: 0.17
Energy relative to the lowest polymorph listed for this composition in meV per atom: 288
DOS at the Fermi energy in states/eV per atom: 2.428

***

(4)
The following is a PBE calculation of a relaxed structure of Np2InTe4, from Alexandria via LeMat-Bulk. Values from VASP.

Quantum ESPRESSO input file:
```
&SYSTEM
  ibrav = 0, nat = 14, ntyp = 3
/
ATOMIC_SPECIES
Np 237.00 Np.upf
In 114.82 In.upf
Te 127.60 Te.upf
CELL_PARAMETERS angstrom
0.000 6.464 6.535
6.456 0.000 6.535
6.456 6.464 0.000
ATOMIC_POSITIONS crystal
Np 0.000 0.000 0.000
Np 0.000 0.000 0.500
Np 0.000 0.500 0.000
Np 0.500 0.000 0.000
In 0.375 0.375 0.375
In 0.625 0.625 0.625
Te 0.221 0.757 0.760
Te 0.239 0.240 0.243
Te 0.240 0.239 0.779
Te 0.243 0.779 0.239
Te 0.757 0.221 0.761
Te 0.760 0.761 0.221
Te 0.761 0.760 0.757
Te 0.779 0.243 0.240
```

SG: No. 70
Volume in Å³/cell: 545.48
Total moment in Bohr magnetons per cell: 0.001
Formation energy (no corrections) in eV per atom: -0.48
Energy relative to the lowest polymorph listed for this composition in meV per atom: 0
DOS at the Fermi energy in states/eV per atom: 2.138

***

(5)
The following is a PBE calculation of a relaxed structure of Np2InTe5, from Alexandria via LeMat-Bulk. Values from VASP.

Quantum ESPRESSO input file:
```
&SYSTEM
  ibrav = 0, nat = 16, ntyp = 3
/
ATOMIC_SPECIES
Np 237.00 Np.upf
In 114.82 In.upf
Te 127.60 Te.upf
CELL_PARAMETERS angstrom
8.559 0.000 0.000
0.000 13.311 0.000
0.000 0.000 4.223
ATOMIC_POSITIONS crystal
Np 0.022 0.175 0.000
Np 0.478 0.675 0.000
Np 0.522 0.325 0.000
Np 0.978 0.825 0.000
In 0.000 0.500 0.500
In 0.500 0.000 0.500
Te 0.000 0.000 0.500
Te 0.169 0.392 0.000
Te 0.188 0.696 0.500
Te 0.312 0.196 0.500
Te 0.331 0.892 0.000
Te 0.500 0.500 0.500
Te 0.669 0.108 0.000
Te 0.688 0.804 0.500
Te 0.812 0.304 0.500
Te 0.831 0.608 0.000
```

SG: No. 55
Volume in Å³/cell: 481.09
Total moment in Bohr magnetons per cell: 14.034
Formation energy (no corrections) in eV per atom: -0.51
DOS at the Fermi energy in states/eV per atom: 2.446

***

(6)
The following is a PBE calculation of a relaxed structure of NpInTe3, from Alexandria via LeMat-Bulk. Values from VASP.

Quantum ESPRESSO input file:
```
&SYSTEM
  ibrav = 0, nat = 10, ntyp = 3
/
ATOMIC_SPECIES
Np 237.00 Np.upf
In 114.82 In.upf
Te 127.60 Te.upf
CELL_PARAMETERS angstrom
9.459 -2.307 0.000
9.459 2.307 0.000
-2.426 0.000 7.708
ATOMIC_POSITIONS crystal
Np 0.223 0.223 0.241
Np 0.777 0.777 0.759
In 0.477 0.477 0.310
In 0.523 0.523 0.690
Te 0.047 0.047 0.181
Te 0.171 0.171 0.574
Te 0.339 0.339 0.026
Te 0.661 0.661 0.974
Te 0.829 0.829 0.426
Te 0.953 0.953 0.819
```

SG: No. 12
Volume in Å³/cell: 336.47
Total moment in Bohr magnetons per cell: 7.838
Formation energy (no corrections) in eV per atom: -0.44
DOS at the Fermi energy in states/eV per atom: 2.038

***

(7)
The following is a PBE calculation of a relaxed structure of NpIn3Te4, from Alexandria via LeMat-Bulk. Values from VASP.

Quantum ESPRESSO input file:
```
&SYSTEM
  ibrav = 0, nat = 16, ntyp = 3
/
ATOMIC_SPECIES
Np 237.00 Np.upf
In 114.82 In.upf
Te 127.60 Te.upf
CELL_PARAMETERS angstrom
6.321 0.000 0.000
0.000 13.156 0.000
0.000 0.000 6.321
ATOMIC_POSITIONS crystal
Np 0.250 0.250 0.249
Np 0.750 0.750 0.751
In 0.250 0.000 0.750
In 0.250 0.500 0.750
In 0.250 0.750 0.251
In 0.750 0.000 0.250
In 0.750 0.250 0.749
In 0.750 0.500 0.250
Te 0.250 0.009 0.250
Te 0.250 0.250 0.749
Te 0.250 0.491 0.250
Te 0.250 0.750 0.751
Te 0.750 0.250 0.249
Te 0.750 0.509 0.750
Te 0.750 0.750 0.251
Te 0.750 0.991 0.750
```

SG: No. 59
Volume in Å³/cell: 525.63
Total moment in Bohr magnetons per cell: 7.645
Formation energy (no corrections) in eV per atom: -0.34
Energy relative to the lowest polymorph listed for this composition in meV per atom: 20
DOS at the Fermi energy in states/eV per atom: 1.388

***

(8)
The following is a PBE calculation of a relaxed structure of NpIn3Te4, from Alexandria via LeMat-Bulk. Values from VASP.

Quantum ESPRESSO input file:
```
&SYSTEM
  ibrav = 0, nat = 8, ntyp = 3
/
ATOMIC_SPECIES
Np 237.00 Np.upf
In 114.82 In.upf
Te 127.60 Te.upf
CELL_PARAMETERS angstrom
2.200 1.270 15.846
-2.200 1.270 15.846
0.000 -2.541 15.846
ATOMIC_POSITIONS crystal
Np 0.000 0.000 0.000
In 0.246 0.246 0.246
In 0.500 0.500 0.500
In 0.754 0.754 0.754
Te 0.130 0.130 0.130
Te 0.371 0.371 0.371
Te 0.629 0.629 0.629
Te 0.870 0.870 0.870
```

SG: No. 166
Volume in Å³/cell: 265.77
Total moment in Bohr magnetons per cell: 3.925
Formation energy (no corrections) in eV per atom: -0.36
Energy relative to the lowest polymorph listed for this composition in meV per atom: 0
DOS at the Fermi energy in states/eV per atom: 1.618

***

(9)
The following is a PBE calculation of a relaxed structure of Np3TiIn3Te8, from Alexandria via LeMat-Bulk. Values from VASP.

Quantum ESPRESSO input file:
```
&SYSTEM
  ibrav = 0, nat = 15, ntyp = 4
/
ATOMIC_SPECIES
Np 237.00 Np.upf
Ti 47.87 Ti.upf
In 114.82 In.upf
Te 127.60 Te.upf
CELL_PARAMETERS angstrom
7.395 -4.278 0.000
7.395 4.278 0.000
-4.932 0.000 8.231
ATOMIC_POSITIONS crystal
Np 0.000 0.000 0.000
Np 0.000 0.500 0.000
Np 0.500 0.000 0.000
Ti 0.500 0.500 0.000
In 0.000 0.500 0.500
In 0.500 0.000 0.500
In 0.500 0.500 0.500
Te 0.242 0.242 0.226
Te 0.259 0.725 0.210
Te 0.275 0.275 0.790
Te 0.275 0.741 0.790
Te 0.725 0.259 0.210
Te 0.725 0.725 0.210
Te 0.741 0.275 0.790
Te 0.758 0.758 0.774
```

SG: No. 12
Volume in Å³/cell: 520.77
Total moment in Bohr magnetons per cell: 12.007
Formation energy (no corrections) in eV per atom: -0.50
DOS at the Fermi energy in states/eV per atom: 2.149

***

(10)
The following is a PBE calculation of a relaxed structure of NpTlIn2Te4, from Alexandria via LeMat-Bulk. Values from VASP.

Quantum ESPRESSO input file:
```
&SYSTEM
  ibrav = 0, nat = 8, ntyp = 4
/
ATOMIC_SPECIES
Np 237.00 Np.upf
Tl 204.38 Tl.upf
In 114.82 In.upf
Te 127.60 Te.upf
CELL_PARAMETERS angstrom
7.961 0.000 0.000
0.000 4.373 0.000
-2.560 0.000 7.951
ATOMIC_POSITIONS crystal
Np 0.000 0.000 0.000
Tl 0.000 0.500 0.500
In 0.500 0.000 0.500
In 0.500 0.500 0.000
Te 0.236 0.500 0.220
Te 0.263 0.000 0.789
Te 0.737 0.000 0.211
Te 0.764 0.500 0.780
```

SG: No. 10
Volume in Å³/cell: 276.77
Total moment in Bohr magnetons per cell: 3.632
Formation energy (no corrections) in eV per atom: -0.38
DOS at the Fermi energy in states/eV per atom: 1.163

***

(11)
The following is a PBE calculation of a relaxed structure of Np3Tl4InTe8, from Alexandria via LeMat-Bulk. Values from VASP.

Quantum ESPRESSO input file:
```
&SYSTEM
  ibrav = 0, nat = 16, ntyp = 4
/
ATOMIC_SPECIES
Np 237.00 Np.upf
Tl 204.38 Tl.upf
In 114.82 In.upf
Te 127.60 Te.upf
CELL_PARAMETERS angstrom
7.868 -4.544 0.000
7.868 4.544 0.000
-5.244 0.000 8.081
ATOMIC_POSITIONS crystal
Np 0.000 0.000 0.000
Np 0.000 0.500 0.000
Np 0.500 0.000 0.000
Tl 0.000 0.000 0.500
Tl 0.000 0.500 0.500
Tl 0.500 0.000 0.500
Tl 0.500 0.500 0.500
In 0.500 0.500 0.000
Te 0.236 0.737 0.212
Te 0.239 0.239 0.215
Te 0.262 0.262 0.789
Te 0.263 0.764 0.788
Te 0.737 0.236 0.212
Te 0.738 0.738 0.211
Te 0.761 0.761 0.785
Te 0.764 0.263 0.788
```

SG: No. 12
Volume in Å³/cell: 577.77
Total moment in Bohr magnetons per cell: 11.377
Formation energy (no corrections) in eV per atom: -0.67
DOS at the Fermi energy in states/eV per atom: 1.543

***

(12)
The following is a PBE calculation of a relaxed structure of NpTlInTe3, from Alexandria via LeMat-Bulk. Values from VASP.

Quantum ESPRESSO input file:
```
&SYSTEM
  ibrav = 0, nat = 12, ntyp = 4
/
ATOMIC_SPECIES
Np 237.00 Np.upf
Tl 204.38 Tl.upf
In 114.82 In.upf
Te 127.60 Te.upf
CELL_PARAMETERS angstrom
9.314 0.000 0.000
0.000 4.514 0.000
-4.185 0.000 10.315
ATOMIC_POSITIONS crystal
Np 0.196 0.250 0.145
Np 0.804 0.750 0.855
Tl 0.276 0.750 0.776
Tl 0.724 0.250 0.224
In 0.394 0.750 0.370
In 0.606 0.250 0.630
Te 0.029 0.250 0.846
Te 0.270 0.250 0.475
Te 0.411 0.750 0.101
Te 0.589 0.250 0.899
Te 0.730 0.750 0.525
Te 0.971 0.750 0.154
```

SG: No. 11
Volume in Å³/cell: 433.66
Total moment in Bohr magnetons per cell: 7.840
Formation energy (no corrections) in eV per atom: -0.38
DOS at the Fermi energy in states/eV per atom: 1.675